The following is a DFT calculation (PBE) of LiTcMoP2 after structural relaxation.

Cell: 4.2341 4.2341 3.8262 Å, 90.00 90.00 90.00°
With the nearest neighbours (Å) after each atom.
Positions (direct):
Li (0.0000, 0.0000, 0.0000)  2 Tc 1.91, 4 P 2.12
Tc (0.0000, 0.0000, 0.5000)  2 Li 1.91
Mo (0.5000, 0.5000, 0.5000)  8 P 2.85, 4 Tc 2.99
P (0.0000, 0.5000, 0.0000)  2 Li 2.12
P (0.5000, 0.0000, 0.0000)  2 Li 2.12

Computed properties:
ΔE_f (eV/atom): 0.99
VASP energy (eV per atom): -5.80
D(E_F) (states/eV/cell): 5.44